A relaxed structure of Tb6NdMg. Source: the Alexandria database, functional GGA-PBE.

a = 11.1929 Å, b = 5.0270 Å, c = 9.9305 Å
α = 90.00°, β = 116.30°, γ = 90.00°
With the nearest neighbours (Å) after each atom.
Space group C2/m (No. 12)
Unique sites:
Tb (0.0028, 0.0000, 0.2483)  2 Mg 3.51, 8 Tb 3.53-3.57, 2 Nd 3.55
Tb (0.2448, 0.5000, 0.8776)  3 Mg 3.46-3.59, 8 Tb 3.46-3.56, 1 Nd 3.53
Tb (0.2492, 0.5000, 0.3706)  1 Mg 3.50, 8 Tb 3.53-3.59, 3 Nd 3.55-3.56
Nd (0.0000, 0.5000, 0.5000)  12 Tb 3.53-3.56
Mg (0.0000, 0.5000, 0.0000)  12 Tb 3.46-3.59

Summary:
- DFT total energy (eV/atom) = -4.2423
- ΔE_f (eV/f.u.) = 0.21